# MnTeIrO6

MnTeIrO6 after structural relaxation (PBE with a Hubbard U, Alexandria).

a b c (Å): 5.2574 5.2574 9.2196
angles (deg): 90.00 90.00 120.00
Space group P-31c (No. 163)
Inequivalent atoms, fractional coordinates:
Mn 0.0000 0.0000 0.0000 [2 per cell]
Te 0.3333 0.6667 0.2500 [2 per cell]
Ir 0.3333 0.6667 0.7500 [2 per cell]
O 0.0012 0.3543 0.1349 [12 per cell]

Output
DOS(E_F): 7.814 states/eV per cell
crystal system: trigonal
volume: 12.26 Å³/atom
energy: -117.63 eV for the cell shown